[1]
VASP calculation (GGA-PBE) on LiCeHoRe after structural relaxation.

The value obtained for the formation enthalpy at 0 K is 0.22 eV per formula unit. Its total energy is -6.163 eV per atom.

The space group is F-43m (No. 216) and the conventional cell measures 6.970, 6.970 and 6.970 Å, with angles of 90.00, 90.00 and 90.00 degrees. Symmetry generates all atoms from Li at (0.000, 0.000, 0.000), Ce at (0.250, 0.250, 0.750), Ho at (0.250, 0.250, 0.250) and Re at (0.000, 0.000, 0.500).



[2]
VASP calculation (GGA-PBE) on HfTiCr2C after structural relaxation.

The value obtained for the formation enthalpy at 0 K is -0.05 eV per formula unit. Its total energy is -9.275 eV per atom.

The space group is P4/mmm (No. 123) and the conventional cell measures 3.916, 3.916 and 4.471 Å, with angles of 90.00, 90.00 and 90.00 degrees. Symmetry generates all atoms from Hf at (0.000, 0.000, 0.000), Ti at (0.500, 0.500, 0.000), Cr at (0.000, 0.500, 0.500) and C at (0.000, 0.000, 0.500).



[3]
VASP calculation (GGA-PBE) on BaCuOsO5 after structural relaxation.

Its total energy is -6.674 eV per atom. The energy relative to the elements, uncorrected comes out at -1.42 eV/atom.

The space group is C2/c (No. 15) and the conventional cell measures 6.868, 9.622 and 7.419 Å, with angles of 90.00, 110.93 and 90.00 degrees. Symmetry generates all atoms from Ba at (0.000, 0.164, 0.250), Cu at (0.000, 0.190, 0.750), Os at (0.000, 0.500, 0.000), O at (0.000, 0.449, 0.250), O at (0.089, 0.315, 0.589) and O at (0.216, 0.062, 0.923).



[4]
VASP calculation (GGA-PBE) on Tl6CdIn after structural relaxation.

The value obtained for the formation enthalpy at 0 K is 1.32 eV per formula unit. Its total energy is -2.066 eV per atom. Its distance to the lowest polymorph of the same formula is 124.1 meV/atom.

The space group is R-3m (No. 166, hexagonal axes) and the conventional cell measures 9.2109, 9.2109 and 10.9108 Å, with angles of 90.00, 90.00 and 120.00 degrees. Symmetry generates all atoms from Tl at (0.0799, 0.5400, 0.3699), Cd at (0.0000, 0.0000, 0.5000) and In at (0.0000, 0.0000, 0.0000).



[5]
VASP calculation (GGA-PBE) on NaTlB3 after structural relaxation.

The value obtained for the formation enthalpy at 0 K is 11.23 eV per formula unit. Its total energy is -2.497 eV per atom. Its distance to the lowest polymorph of the same formula is 0.0 meV/atom.

The space group is Pm-3m (No. 221) and the conventional cell measures 4.694, 4.694 and 4.694 Å, with angles of 90.00, 90.00 and 90.00 degrees. Symmetry generates all atoms from Na at (0.000, 0.000, 0.000), Tl at (0.500, 0.500, 0.500) and B at (0.000, 0.500, 0.500).



[6]
VASP calculation (GGA-PBE) on PmTm2Be after structural relaxation.

The value obtained for the formation enthalpy at 0 K is 2.80 eV per formula unit. Its total energy is -3.655 eV per atom. Its distance to the lowest polymorph of the same formula is 645.7 meV/atom.

The space group is R-3m (No. 166, hexagonal axes) and the conventional cell measures 3.4366, 3.4366 and 33.9734 Å, with angles of 90.00, 90.00 and 120.00 degrees. Symmetry generates all atoms from Pm at (0.0000, 0.0000, 0.0000), Tm at (0.0000, 0.0000, 0.4165) and Be at (0.0000, 0.0000, 0.5000).



[7]
VASP calculation (GGA-PBE) on LaAg2Os after structural relaxation.

The value obtained for the formation enthalpy at 0 K is 1.37 eV per formula unit. Its total energy is -5.123 eV per atom. Its distance to the lowest polymorph of the same formula is 129.0 meV/atom.

The space group is Pm (No. 6) and the conventional cell measures 3.060, 3.873 and 7.048 Å, with angles of 90.00, 95.74 and 90.00 degrees. Symmetry generates all atoms from La at (0.000, 0.000, 0.000), Ag at (0.460, 0.500, 0.664), Ag at (0.913, 0.000, 0.459) and Os at (0.378, 0.500, 0.244).



[8]
VASP calculation (GGA-PBE) on Ba2CeAlS5 after structural relaxation.

Its total energy is -5.606 eV per atom. The energy relative to the elements, uncorrected comes out at -1.81 eV/atom.

The space group is Cmc2_1 (No. 36) and the conventional cell measures 4.139, 18.256 and 13.203 Å, with angles of 90.00, 90.00 and 90.00 degrees. Symmetry generates all atoms from Ba at (0.000, 0.117, 0.000), Ba at (0.000, 0.127, 0.650), Ce at (0.000, 0.199, 0.346), Al at (0.000, 0.445, 0.736), S at (0.000, 0.036, 0.324), S at (0.000, 0.298, 0.988), S at (0.000, 0.322, 0.694), S at (0.000, 0.347, 0.327) and S at (0.000, 0.497, 0.089).



[9]
VASP calculation (GGA-PBE) on Tb2YEr6 after structural relaxation.

The value obtained for the formation enthalpy at 0 K is 0.19 eV per formula unit. Its total energy is -4.768 eV per atom. Its distance to the lowest polymorph of the same formula is 0.0 meV/atom.

The space group is P-1 (No. 2) and the conventional cell measures 3.529, 8.627 and 9.323 Å, with angles of 90.01, 100.84 and 90.07 degrees. Symmetry generates all atoms from Tb at (0.055, 0.335, 0.112), Y at (0.500, 0.000, 0.000), Er at (0.167, 0.000, 0.335), Er at (0.278, 0.667, 0.555) and Er at (0.388, 0.333, 0.776).



[10]
VASP calculation (GGA-PBE) on Ca2ZrTe after structural relaxation.

Its total energy is -4.089 eV per atom. The energy relative to the elements, uncorrected comes out at -0.17 eV/atom.

The space group is I-4m2 (No. 119) and the conventional cell measures 4.639, 4.639 and 10.701 Å, with angles of 90.00, 90.00 and 90.00 degrees. Symmetry generates all atoms from Ca at (0.000, 0.000, 0.000), Ca at (0.000, 0.500, 0.250), Zr at (0.000, 0.000, 0.500) and Te at (0.000, 0.500, 0.750).



[11]
VASP calculation (GGA-PBE) on KLa2InO5 after structural relaxation.

Its total energy is -6.778 eV per atom. The energy relative to the elements, uncorrected comes out at -2.50 eV/atom.

The space group is I4/mcm (No. 140) and the conventional cell measures 7.011, 7.011 and 12.250 Å, with angles of 90.00, 90.00 and 90.00 degrees. Symmetry generates all atoms from K at (0.000, 0.000, 0.250), La at (0.183, 0.317, 0.000), In at (0.000, 0.500, 0.250), O at (0.000, 0.000, 0.000) and O at (0.143, 0.357, 0.373).



[12]
VASP calculation (GGA-PBE) on NaGe3Se after structural relaxation.

Its total energy is -2.732 eV per atom. Its distance to the lowest polymorph of the same formula is 533.7 meV/atom. The energy relative to the elements, uncorrected comes out at 1.00 eV/atom.

The space group is Pm-3m (No. 221) and the conventional cell measures 5.075, 5.075 and 5.075 Å, with angles of 90.00, 90.00 and 90.00 degrees. Symmetry generates all atoms from Na at (0.000, 0.000, 0.000), Ge at (0.000, 0.000, 0.500) and Se at (0.500, 0.500, 0.500).



[13]
VASP calculation (GGA-PBE) on Tl2RuSe after structural relaxation.

Its total energy is -3.798 eV per atom. Its distance to the lowest polymorph of the same formula is 501.3 meV/atom. The energy relative to the elements, uncorrected comes out at 0.58 eV/atom.

The space group is I-4m2 (No. 119) and the conventional cell measures 4.455, 4.455 and 8.631 Å, with angles of 90.00, 90.00 and 90.00 degrees. Symmetry generates all atoms from Tl at (0.000, 0.000, 0.000), Tl at (0.000, 0.500, 0.250), Ru at (0.000, 0.500, 0.750) and Se at (0.000, 0.000, 0.500).



[14]
VASP calculation (GGA-PBE) on V2FeRh3 after structural relaxation.

The value obtained for the formation enthalpy at 0 K is -2.02 eV per formula unit. Its total energy is -8.462 eV per atom. Its distance to the lowest polymorph of the same formula is 0.0 meV/atom.

The space group is Cmmm (No. 65) and the conventional cell measures 3.830, 11.594 and 3.632 Å, with angles of 90.00, 90.00 and 90.00 degrees. Symmetry generates all atoms from V at (0.000, 0.160, 0.000), Fe at (0.000, 0.500, 0.000), Rh at (0.000, 0.000, 0.500) and Rh at (0.000, 0.334, 0.500).



[15]
VASP calculation (GGA-PBE) on Ac2Zn3Pt12Au after structural relaxation.

The value obtained for the formation enthalpy at 0 K is -3.08 eV per formula unit. Its total energy is -5.049 eV per atom.

The space group is R-3m (No. 166, hexagonal axes) and the conventional cell measures 8.1496, 8.1496 and 20.0235 Å, with angles of 90.00, 90.00 and 120.00 degrees. Symmetry generates all atoms from Ac at (0.0000, 0.0000, 0.1206), Zn at (0.0000, 0.5000, 0.0000), Pt at (0.0034, 0.5017, 0.3744), Pt at (0.0165, 0.5083, 0.8761) and Au at (0.0000, 0.0000, 0.5000).



[16]
VASP calculation (GGA-PBE) on K3AgIr after structural relaxation.

The value obtained for the formation enthalpy at 0 K is 3.55 eV per formula unit. Its total energy is -2.291 eV per atom. Its distance to the lowest polymorph of the same formula is 0.0 meV/atom.

The space group is Pm-3m (No. 221) and the conventional cell measures 6.101, 6.101 and 6.101 Å, with angles of 90.00, 90.00 and 90.00 degrees. Symmetry generates all atoms from K at (0.000, 0.000, 0.500), Ag at (0.500, 0.500, 0.500) and Ir at (0.000, 0.000, 0.000).



[17]
VASP calculation (GGA-PBE) on Ba2NaHgO after structural relaxation.

Its total energy is -3.160 eV per atom. The energy relative to the elements, uncorrected comes out at -1.07 eV/atom.

The space group is P4/mmm (No. 123) and the conventional cell measures 5.557, 5.557 and 4.826 Å, with angles of 90.00, 90.00 and 90.00 degrees. Symmetry generates all atoms from Ba at (0.000, 0.500, 0.000), Na at (0.000, 0.000, 0.500), Hg at (0.500, 0.500, 0.500) and O at (0.000, 0.000, 0.000).



[18]
VASP calculation (GGA-PBE) on Sm4Te2N after structural relaxation.

Its total energy is -5.858 eV per atom. The energy relative to the elements, uncorrected comes out at -1.07 eV/atom.

The space group is C2/m (No. 12) and the conventional cell measures 15.753, 3.934 and 7.024 Å, with angles of 90.00, 116.34 and 90.00 degrees. Symmetry generates all atoms from Sm at (0.096, 0.000, 0.239), Sm at (0.101, 0.500, 0.811), Te at (0.239, 0.000, 0.730) and N at (0.000, 0.500, 0.000).



[19]
VASP calculation (GGA-PBE) on NaC2I after structural relaxation.

Its total energy is -2.792 eV per atom. Its distance to the lowest polymorph of the same formula is 437.9 meV/atom. The energy relative to the elements, uncorrected comes out at 2.54 eV/atom.

The space group is Fm-3m (No. 225) and the conventional cell measures 6.224, 6.224 and 6.224 Å, with angles of 90.00, 90.00 and 90.00 degrees. Symmetry generates all atoms from Na at (0.000, 0.000, 0.000), C at (0.250, 0.250, 0.250) and I at (0.000, 0.000, 0.500).



[20]
VASP calculation (GGA-PBE) on UCo2Tc after structural relaxation.

The value obtained for the formation enthalpy at 0 K is -0.69 eV per formula unit. Its total energy is -9.140 eV per atom. Its distance to the lowest polymorph of the same formula is 0.0 meV/atom.

The space group is P4/mmm (No. 123) and the conventional cell measures 3.846, 3.846 and 3.866 Å, with angles of 90.00, 90.00 and 90.00 degrees. Symmetry generates all atoms from U at (0.000, 0.000, 0.000), Co at (0.000, 0.500, 0.500) and Tc at (0.500, 0.500, 0.000).



[21]
VASP calculation (GGA-PBE) on La4Ga12Ir after structural relaxation.

The value obtained for the formation enthalpy at 0 K is -10.29 eV per formula unit. Its total energy is -4.423 eV per atom.

The space group is Im-3m (No. 229) and the conventional cell measures 8.909, 8.909 and 8.909 Å, with angles of 90.00, 90.00 and 90.00 degrees. Symmetry generates all atoms from La at (0.250, 0.250, 0.250), Ga at (0.000, 0.000, 0.291), Ga at (0.000, 0.250, 0.500) and Ir at (0.000, 0.000, 0.000).



[22]
VASP calculation (GGA-PBE) on Y2HoAg6 after structural relaxation.

The value obtained for the formation enthalpy at 0 K is -2.30 eV per formula unit. Its total energy is -4.102 eV per atom.

The space group is C2/m (No. 12) and the conventional cell measures 5.306, 16.124 and 5.317 Å, with angles of 90.00, 119.68 and 90.00 degrees. Symmetry generates all atoms from Y at (0.000, 0.165, 0.000), Ho at (0.000, 0.000, 0.500), Ag at (0.161, 0.500, 0.822) and Ag at (0.166, 0.334, 0.336).



[23]
VASP calculation (GGA-PBE) on La2Tb6SmHo after structural relaxation.

The value obtained for the formation enthalpy at 0 K is 1.17 eV per formula unit. Its total energy is -4.576 eV per atom.

The space group is C2/c (No. 15) and the conventional cell measures 9.072, 15.052 and 9.927 Å, with angles of 90.00, 100.14 and 90.00 degrees. Symmetry generates all atoms from La at (0.242, 0.049, 0.042), Tb at (0.072, 0.192, 0.443), Tb at (0.097, 0.395, 0.619), Tb at (0.200, 0.221, 0.811), Sm at (0.000, 0.013, 0.750) and Ho at (0.000, 0.405, 0.250).